Record 1
VASP calculation (PBE-GGA) on Ba2RhPb after structural relaxation.

abc: 11.5857 11.5857 5.2965
angles: 90.00 90.00 90.00
Closest atoms and distances in Å follow each position.
Space group I-42d (No. 122)
One atom of each set of equivalent atoms:
Ba  0.0810  0.2500  0.1250 (multiplicity 8)  2 Rh 3.12
Rh  0.0000  0.0000  0.0000 (multiplicity 4)  2 Pb 2.65
Pb  0.0000  0.0000  0.5000 (multiplicity 4)  2 Rh 2.65

Magnetization ... 0.00 μB/cell
Energy ... -3.974 eV per atom
Calculated density ... 5.46 Mg/m³
DFT formation energy ... -23.87 kJ per mole of atoms

***

Record 2
VASP calculation (PBE-GGA) on CaGdZnHg after structural relaxation.

abc: 7.4055 7.4055 7.4055
angles: 90.00 90.00 90.00
Closest atoms and distances in Å follow each position.
Space group F-43m (No. 216)
One atom of each set of equivalent atoms:
Ca  0.0000  0.0000  0.0000 (multiplicity 4)  4 Hg 3.21, 4 Zn 3.21
Gd  0.0000  0.0000  0.5000 (multiplicity 4)  4 Hg 3.21, 4 Zn 3.21
Zn  0.2500  0.2500  0.7500 (multiplicity 4)  4 Ca 3.21, 4 Gd 3.21
Hg  0.2500  0.2500  0.2500 (multiplicity 4)  4 Gd 3.21, 4 Ca 3.21

Magnetization ... 29.17 μB/cell
Energy ... -4.827 eV per atom
Calculated density ... 7.58 Mg/m³
DFT formation energy ... -39.79 kJ per mole of atoms

***

Record 3
VASP calculation (PBE-GGA) on SmTmOs after structural relaxation.

abc: 3.4044 3.4044 13.2567
angles: 90.00 90.00 90.00
Closest atoms and distances in Å follow each position.
Space group I4mm (No. 107)
One atom of each set of equivalent atoms:
Sm  0.0000  0.0000  0.0000 (multiplicity 2)  4 Os 2.97
Tm  0.0000  0.0000  0.2510 (multiplicity 2)  4 Os 2.88
Os  0.0000  0.0000  0.6311 (multiplicity 2)  4 Tm 2.88, 4 Sm 2.97

Excess energy over the best structure of this formula in the dataset ... 0.00 eV/f.u.
Magnetization ... 0.00 μB/cell
Energy ... -7.006 eV per atom
Calculated density ... 11.01 Mg/m³
DFT formation energy ... -19.20 kJ per mole of atoms

***

Record 4
VASP calculation (PBE-GGA) on Th2AlNi3Ge4 after structural relaxation.

abc: 4.1660 4.1660 10.0839
angles: 90.00 90.00 90.00
Closest atoms and distances in Å follow each position.
Space group P-4m2 (No. 115)
One atom of each set of equivalent atoms:
Th  0.0000  0.5000  0.2403 (multiplicity 2)  8 Ge 3.17-3.20, 6 Ni 3.18-3.35, 2 Al 3.35
Al  0.0000  0.0000  0.5000 (multiplicity 1)  4 Ge 2.53
Ni  0.0000  0.5000  0.8780 (multiplicity 2)  5 Ge 2.37-2.42
Ni  0.5000  0.5000  0.5000 (multiplicity 1)  4 Ge 2.53
Ge  0.0000  0.0000  0.0000 (multiplicity 1)  4 Ni 2.42
Ge  0.0000  0.5000  0.6432 (multiplicity 2)  3 Ni 2.37-2.53, 2 Al 2.53
Ge  0.5000  0.5000  0.0000 (multiplicity 1)  4 Ni 2.42

Magnetization ... 0.00 μB/cell
Energy ... -6.117 eV per atom
Calculated density ... 9.09 Mg/m³
DFT formation energy ... -65.39 kJ per mole of atoms

***

Record 5
VASP calculation (PBE-GGA) on CaThIn after structural relaxation.

abc: 3.5587 3.5587 30.3240
angles: 90.00 90.00 90.00
Closest atoms and distances in Å follow each position.
Space group I4/mmm (No. 139)
One atom of each set of equivalent atoms:
Ca  0.0000  0.0000  0.1983 (multiplicity 4)  4 In 3.33, 4 Ca 3.56
Th  0.0000  0.0000  0.0543 (multiplicity 4)  5 Th 3.29-3.56, 4 In 3.33
In  0.0000  0.0000  0.3736 (multiplicity 4)  4 Ca 3.33, 4 Th 3.33, 4 In 3.56

Excess energy over the best structure of this formula in the dataset ... 0.17 eV/f.u.
Magnetization ... 0.00 μB/cell
Energy ... -4.130 eV per atom
Calculated density ... 6.69 Mg/m³
DFT formation energy ... -7.40 kJ per mole of atoms

***

Record 6
VASP calculation (PBE-GGA) on DyTmInPt after structural relaxation.

abc: 7.2060 7.2060 7.2060
angles: 90.00 90.00 90.00
Closest atoms and distances in Å follow each position.
Space group F-43m (No. 216)
One atom of each set of equivalent atoms:
Dy  0.0000  0.0000  0.0000 (multiplicity 4)  4 In 3.12, 4 Pt 3.12
Tm  0.0000  0.0000  0.5000 (multiplicity 4)  4 Pt 3.12, 4 In 3.12
In  0.2500  0.2500  0.2500 (multiplicity 4)  4 Tm 3.12, 4 Dy 3.12
Pt  0.2500  0.2500  0.7500 (multiplicity 4)  4 Dy 3.12, 4 Tm 3.12

Magnetization ... 0.00 μB/cell
Energy ... -5.227 eV per atom
Calculated density ... 11.38 Mg/m³
DFT formation energy ... -73.68 kJ per mole of atoms